No. 1
# Pr3MgTl2 | the Alexandria database | PBE | optimized geometry
# Energy of formation = -0.30 eV per atom
# Final energy = -22.45 eV per cell
# Density of states at the Fermi level = 1.169 states/eV/atom
# Energy above the lowest structure with this stoichiometry = 0.99 kJ per mole of atoms
data_Pr3MgTl2
_cell_length_a 3.890
_cell_length_b 3.890
_cell_length_c 12.013
_cell_angle_alpha 90.00
_cell_angle_beta 90.00
_cell_angle_gamma 90.00
_symmetry_space_group_name_H-M 'P 1'
_symmetry_Int_Tables_number 1
loop_
_symmetry_equiv_pos_as_xyz
'x,y,z'
loop_
_atom_site_label
_atom_site_fract_x
_atom_site_fract_y
_atom_site_fract_z
Pr1 0.000 0.000 0.000
Pr2 0.000 0.000 0.339
Pr3 0.000 0.000 0.661
Mg1 0.500 0.500 0.500
Tl1 0.500 0.500 0.174
Tl2 0.500 0.500 0.826


No. 2
# LaZnAs | the Alexandria database | PBE | optimized geometry
# Energy of formation = -0.56 eV per atom
# Final energy = -50.15 eV per cell
# Density of states at the Fermi level = 0.173 states/eV/atom
data_LaZnAs
_cell_length_a 4.666
_cell_length_b 5.776
_cell_length_c 10.639
_cell_angle_alpha 90.00
_cell_angle_beta 90.00
_cell_angle_gamma 90.00
_symmetry_space_group_name_H-M 'P 1'
_symmetry_Int_Tables_number 1
loop_
_symmetry_equiv_pos_as_xyz
'x,y,z'
loop_
_atom_site_label
_atom_site_fract_x
_atom_site_fract_y
_atom_site_fract_z
La1 0.000 0.000 0.000
La2 0.000 0.500 0.500
La3 0.500 0.000 0.500
La4 0.500 0.500 0.000
Zn1 0.000 0.000 0.695
Zn2 0.000 0.500 0.195
Zn3 0.500 0.000 0.195
Zn4 0.500 0.500 0.695
As1 0.000 0.000 0.317
As2 0.000 0.500 0.817
As3 0.500 0.000 0.817
As4 0.500 0.500 0.317